Entry 1:
AlAuBr: relaxed, PBE.

Cell: 3.7376 3.7376 5.9191 Å, 90.00 90.00 120.00°
Fractional positions:
1 Au 0.6667 0.3333 0.2441
2 Br 0.3333 0.6667 0.7276
3 Al 0.0000 0.0000 0.0283

Results
**Total magnetization**: 0.0 Bohr magnetons per cell
**SG**: No. 156
**Uncorrected energy**: -9.75 eV per cell

***

Entry 2:
Al3AuBr: relaxed, PBE.

Cell: 4.9781 4.9781 4.9781 Å, 90.00 90.00 90.00°
Fractional positions:
1 Al 0.5000 0.0000 0.0000
2 Al 0.0000 0.5000 0.0000
3 Al 0.0000 0.0000 0.5000
4 Br 0.5000 0.5000 0.5000
5 Au 0.0000 0.0000 0.0000

Results
**Total magnetization**: 0.0 Bohr magnetons per cell
**SG**: No. 221
**Uncorrected energy**: -16.36 eV per cell

***

Entry 3:
AlAu2Br: relaxed, PBE.

Cell: 5.8341 3.9137 3.9137 Å, 90.00 90.00 90.00°
Fractional positions:
1 Au 0.0000 0.5000 0.5000
2 Au 0.0000 0.0000 0.0000
3 Br 0.5000 0.5000 0.0000
4 Al 0.5000 0.0000 0.5000

Results
**Total magnetization**: 0.0 Bohr magnetons per cell
**SG**: No. 123
**Uncorrected energy**: -11.28 eV per cell